The following is a DFT calculation (PBE) of a geometry-optimized Mg2Al3Pd4 structure.

```
Mg2Al3Pd4
1.0
-2.9533 -2.4065 -2.2850
1.4338 -2.6878 -3.2336
0.5368 -6.9979 4.5570
Mg Al Pd
2 3 4
Direct
0.3662 0.3666 0.7761 Mg
0.6338 0.6334 0.2239 Mg
0.2724 0.2722 0.4080 Al
0.0000 0.0000 0.0000 Al
0.7276 0.7278 0.5920 Al
0.6830 0.6834 0.8973 Pd
0.9497 0.9493 0.3308 Pd
0.0503 0.0507 0.6692 Pd
0.3170 0.3166 0.1027 Pd
```

Properties
**Total moment**: 0.00 Bohr magnetons per cell
**DFT total energy**: -4.662 eV/atom